[1]
VASP calculation (PBE) on crystalline NaMg4Ag5 at its relaxed geometry.

Output
- formation enthalpy at 0 K (eV/atom) = -0.18
- E (eV for the cell shown) = -23.77
- size of the total moment (Bohr magnetons per cell) = 0.000

```
data_NaMg4Ag5
_cell_length_a 3.370
_cell_length_b 3.370
_cell_length_c 17.084
_cell_angle_alpha 90.00
_cell_angle_beta 90.00
_cell_angle_gamma 90.00
_symmetry_space_group_name_H-M 'P 4/m m m'
_symmetry_Int_Tables_number 123
_symmetry_space_group_name_Hall '-P 4 2'
loop_
_atom_site_label
_atom_site_type_symbol
_atom_site_fract_x
_atom_site_fract_y
_atom_site_fract_z
Na1 Na 0.000 0.000 0.000
Mg1 Mg 0.000 0.000 0.214
Mg2 Mg 0.000 0.000 0.405
Ag1 Ag 0.500 0.500 0.123
Ag2 Ag 0.500 0.500 0.310
Ag3 Ag 0.500 0.500 0.500
```

=====

[2]
VASP calculation (PBE) on crystalline GaAgSn2W at its relaxed geometry.

Output
- formation enthalpy at 0 K (eV/atom) = 1.36
- E (eV for the cell shown) = -20.03
- size of the total moment (Bohr magnetons per cell) = 3.702

```
data_GaAgSn2W
_cell_length_a 5.228
_cell_length_b 5.228
_cell_length_c 4.757
_cell_angle_alpha 90.00
_cell_angle_beta 90.00
_cell_angle_gamma 90.00
_symmetry_space_group_name_H-M 'P 4/m m m'
_symmetry_Int_Tables_number 123
_symmetry_space_group_name_Hall '-P 4 2'
loop_
_atom_site_label
_atom_site_type_symbol
_atom_site_fract_x
_atom_site_fract_y
_atom_site_fract_z
Ga1 Ga 0.000 0.000 0.000
Ag1 Ag 0.000 0.000 0.500
Sn1 Sn 0.000 0.500 0.000
W1 W 0.500 0.500 0.500
```

=====

[3]
VASP calculation (PBE) on crystalline Mg2ZrTl at its relaxed geometry.

Output
- relative energy among the computed polymorphs (meV/atom) = 240
- formation enthalpy at 0 K (eV/atom) = 0.13
- E (eV for the cell shown) = -54.32
- size of the total moment (Bohr magnetons per cell) = 0.000

```
data_Mg2ZrTl
_cell_length_a 7.119
_cell_length_b 7.119
_cell_length_c 7.119
_cell_angle_alpha 90.00
_cell_angle_beta 90.00
_cell_angle_gamma 90.00
_symmetry_space_group_name_H-M 'F -4 3 m'
_symmetry_Int_Tables_number 216
_symmetry_space_group_name_Hall 'F -4 2 3'
loop_
_atom_site_label
_atom_site_type_symbol
_atom_site_fract_x
_atom_site_fract_y
_atom_site_fract_z
Mg1 Mg 0.000 0.000 0.000
Mg2 Mg 0.250 0.250 0.250
Zr1 Zr 0.000 0.000 0.500
Tl1 Tl 0.250 0.250 0.750
```

=====

[4]
VASP calculation (PBE) on crystalline CeGdCdOs at its relaxed geometry.

Output
- formation enthalpy at 0 K (eV/atom) = -0.11
- E (eV for the cell shown) = -130.39
- size of the total moment (Bohr magnetons per cell) = 28.382

```
data_CeGdCdOs
_cell_length_a 7.192
_cell_length_b 7.192
_cell_length_c 7.192
_cell_angle_alpha 90.00
_cell_angle_beta 90.00
_cell_angle_gamma 90.00
_symmetry_space_group_name_H-M 'F -4 3 m'
_symmetry_Int_Tables_number 216
_symmetry_space_group_name_Hall 'F -4 2 3'
loop_
_atom_site_label
_atom_site_type_symbol
_atom_site_fract_x
_atom_site_fract_y
_atom_site_fract_z
Ce1 Ce 0.000 0.000 0.000
Gd1 Gd 0.000 0.000 0.500
Cd1 Cd 0.250 0.250 0.250
Os1 Os 0.250 0.250 0.750
```

=====

[5]
VASP calculation (PBE) on crystalline LiY2Zn3Ga4 at its relaxed geometry.

Output
- formation enthalpy at 0 K (eV/atom) = -0.42
- E (eV for the cell shown) = -34.99
- size of the total moment (Bohr magnetons per cell) = 0.000

```
data_LiY2Zn3Ga4
_cell_length_a 4.180
_cell_length_b 4.180
_cell_length_c 10.626
_cell_angle_alpha 90.00
_cell_angle_beta 90.00
_cell_angle_gamma 90.00
_symmetry_space_group_name_H-M 'P -4 m 2'
_symmetry_Int_Tables_number 115
loop_
_symmetry_equiv_pos_as_xyz
'x,y,z'
'y,-x,-z'
'-x,-y,z'
'-y,x,-z'
'-x,y,z'
'-y,-x,-z'
'x,-y,z'
'y,x,-z'
loop_
_atom_site_label
_atom_site_type_symbol
_atom_site_fract_x
_atom_site_fract_y
_atom_site_fract_z
Li1 Li 0.000 0.000 0.000
Y1 Y 0.000 0.500 0.748
Zn1 Zn 0.000 0.500 0.360
Zn2 Zn 0.500 0.500 0.000
Ga1 Ga 0.000 0.000 0.500
Ga2 Ga 0.000 0.500 0.133
Ga3 Ga 0.500 0.500 0.500
```

=====

[6]
VASP calculation (PBE) on crystalline KMo2Au at its relaxed geometry.

Output
- relative energy among the computed polymorphs (meV/atom) = 316
- formation enthalpy at 0 K (eV/atom) = 0.82
- E (eV for the cell shown) = -22.74
- size of the total moment (Bohr magnetons per cell) = 0.000

```
data_KMo2Au
_cell_length_a 2.795
_cell_length_b 4.801
_cell_length_c 7.240
_cell_angle_alpha 90.00
_cell_angle_beta 99.23
_cell_angle_gamma 90.00
_symmetry_space_group_name_H-M 'P 1 2/m 1'
_symmetry_Int_Tables_number 10
loop_
_symmetry_equiv_pos_as_xyz
'x,y,z'
'-x,-y,-z'
'-x,y,-z'
'x,-y,z'
loop_
_atom_site_label
_atom_site_type_symbol
_atom_site_fract_x
_atom_site_fract_y
_atom_site_fract_z
K1 K 0.000 0.000 0.000
Mo1 Mo 0.160 0.500 0.649
Au1 Au 0.500 0.000 0.500
```